Entry 1:
Density functional theory data (PBE-GGA) for a relaxed Tm2Zr3Ga4 crystal. Values from VASP.

The structure in Quantum ESPRESSO input format:
```
&SYSTEM
  ibrav = 0, nat = 18, ntyp = 3
/
ATOMIC_SPECIES
Tm 168.93 Tm.upf
Zr 91.22 Zr.upf
Ga 69.72 Ga.upf
ATOMIC_POSITIONS crystal
Tm 0.113 0.887 0.912
Tm 0.387 0.613 0.412
Tm 0.613 0.387 0.588
Tm 0.887 0.113 0.088
Zr 0.000 0.000 0.500
Zr 0.044 0.456 0.750
Zr 0.456 0.044 0.250
Zr 0.500 0.500 0.000
Zr 0.544 0.956 0.750
Zr 0.956 0.544 0.250
Ga 0.183 0.817 0.554
Ga 0.221 0.279 0.750
Ga 0.279 0.221 0.250
Ga 0.317 0.683 0.054
Ga 0.683 0.317 0.946
Ga 0.721 0.779 0.750
Ga 0.779 0.721 0.250
Ga 0.817 0.183 0.446
CELL_PARAMETERS angstrom
3.132 -7.714 0.000
3.132 7.714 0.000
0.000 0.000 8.187
```

=====

Entry 2:
Density functional theory data (PBE-GGA) for a relaxed TmZr2Ga crystal. Values from VASP.

The structure in Quantum ESPRESSO input format:
```
&SYSTEM
  ibrav = 0, nat = 8, ntyp = 3
/
ATOMIC_SPECIES
Tm 168.93 Tm.upf
Zr 91.22 Zr.upf
Ga 69.72 Ga.upf
ATOMIC_POSITIONS crystal
Tm 0.194 0.250 0.389
Tm 0.806 0.750 0.611
Zr 0.060 0.750 0.120
Zr 0.443 0.750 0.886
Zr 0.557 0.250 0.114
Zr 0.940 0.250 0.880
Ga 0.340 0.250 0.679
Ga 0.660 0.750 0.321
CELL_PARAMETERS angstrom
4.316 0.000 0.000
0.000 4.188 0.000
-2.154 0.000 10.295
```

=====

Entry 3:
Density functional theory data (PBE-GGA) for a relaxed Tm3ZrGa12 crystal. Values from VASP.

The structure in Quantum ESPRESSO input format:
```
&SYSTEM
  ibrav = 0, nat = 16, ntyp = 3
/
ATOMIC_SPECIES
Tm 168.93 Tm.upf
Zr 91.22 Zr.upf
Ga 69.72 Ga.upf
ATOMIC_POSITIONS crystal
Tm 0.000 0.000 0.000
Tm 0.000 0.000 0.254
Tm 0.000 0.000 0.746
Zr 0.000 0.000 0.500
Ga 0.000 0.500 0.126
Ga 0.000 0.500 0.378
Ga 0.000 0.500 0.622
Ga 0.000 0.500 0.874
Ga 0.500 0.000 0.126
Ga 0.500 0.000 0.378
Ga 0.500 0.000 0.622
Ga 0.500 0.000 0.874
Ga 0.500 0.500 0.000
Ga 0.500 0.500 0.251
Ga 0.500 0.500 0.500
Ga 0.500 0.500 0.749
CELL_PARAMETERS angstrom
4.196 0.000 0.000
0.000 4.196 0.000
0.000 0.000 16.925
```

=====

Sequential calculated total energy output: -50.25, -25.82, -66.38 eV/f.u.
Sequential size of the total moment output: 0.000, 0.000, 0.000 μB per atom
Sequential ΔH_f (0 K) output: -0.395, -0.306, -0.506 eV/atom